## VNi3Cl (PBE)

Data for crystalline VNi3Cl at its relaxed geometry.

a b c (Å): 4.3994 4.3994 4.3994
angles (deg): 90.00 90.00 90.00
Space group Pm-3m (No. 221)
Symmetry-distinct sites (fractional):
V1 0.0000 0.0000 0.0000
Ni1 0.0000 0.0000 0.5000
Cl1 0.5000 0.5000 0.5000

Properties
The volume comes out at 17.03 Å³ per atom. As for the polymorph energy (0 for the lowest one): 0.443 eV/atom. The crystal system is cubic. The density comes out at 5.12 Mg/m³.


## Pm2GePbO6 (PBE)

Data for crystalline Pm2GePbO6 at its relaxed geometry.

a b c (Å): 5.4607 5.4607 5.4437
angles (deg): 90.00 90.00 90.00
Space group P4mm (No. 99)
Symmetry-distinct sites (fractional):
Pm1 0.0000 0.5000 0.0000
Ge1 0.0000 0.0000 0.6298
Pb1 0.5000 0.5000 0.5459
O1 0.0000 0.0000 0.3001
O2 0.2261 0.2261 0.7613
O3 0.5000 0.5000 0.1088

Properties
The volume comes out at 16.23 Å³ per atom. The calculation puts the total DFT energy (no corrections) at -6.98 eV per atom. The crystal system is tetragonal. The density comes out at 6.81 Mg/m³.


## AlCoCl2 (PBE)

Data for crystalline AlCoCl2 at its relaxed geometry.

a b c (Å): 10.3154 3.0353 7.4816
angles (deg): 90.00 120.01 90.00
Space group Cm (No. 8)
Symmetry-distinct sites (fractional):
Al1 0.0000 0.0000 0.0000
Co1 0.2841 0.0000 0.8408
Cl1 0.0913 0.5000 0.7041
Cl2 0.1862 0.5000 0.2214

Properties
The volume comes out at 25.36 Å³ per atom. As for the polymorph energy (0 for the lowest one): 0.275 eV/atom. The crystal system is monoclinic. The density comes out at 2.57 Mg/m³.


## PmCu2SeO8 (PBE)

Data for crystalline PmCu2SeO8 at its relaxed geometry.

a b c (Å): 6.8984 6.8984 6.3606
angles (deg): 90.00 90.00 90.00
Space group I-4m2 (No. 119)
Symmetry-distinct sites (fractional):
Pm1 0.0000 0.0000 0.0000
Cu1 0.0000 0.0000 0.5000
Cu2 0.0000 0.5000 0.7500
Se1 0.0000 0.5000 0.2500
O1 0.0000 0.2089 0.3074
O2 0.0000 0.3373 0.9712

Properties
The volume comes out at 12.61 Å³ per atom. The calculation puts the total DFT energy (no corrections) at -5.29 eV per atom. The crystal system is tetragonal. The density comes out at 5.26 Mg/m³.


## Hf2CuIr (PBE)

Data for crystalline Hf2CuIr at its relaxed geometry.

a b c (Å): 4.6250 4.6250 3.2458
angles (deg): 90.00 90.00 90.00
Space group P4/mmm (No. 123)
Symmetry-distinct sites (fractional):
Hf1 0.0000 0.5000 0.0000
Cu1 0.0000 0.0000 0.5000
Ir1 0.5000 0.5000 0.5000

Properties
The volume comes out at 17.36 Å³ per atom. As for the polymorph energy (0 for the lowest one): 0.000 eV/atom. As for the formation energy: -0.57 eV/atom. The crystal system is tetragonal. The density comes out at 14.65 Mg/m³.


## AcPmNiP (PBE)

Data for crystalline AcPmNiP at its relaxed geometry.

a b c (Å): 7.2659 7.2659 7.2659
angles (deg): 90.00 90.00 90.00
Space group F-43m (No. 216)
Symmetry-distinct sites (fractional):
Ac1 0.0000 0.0000 0.0000
Pm1 0.0000 0.0000 0.5000
Ni1 0.2500 0.2500 0.7500
P1 0.2500 0.2500 0.2500

Properties
The volume comes out at 23.97 Å³ per atom. As for the formation energy: -0.51 eV/atom. The crystal system is cubic. The density comes out at 7.99 Mg/m³.


The highest volume belongs to which entry?
AlCoCl2